DFT (PBE-GGA) results for crystalline Mg2IBr3 at its relaxed geometry.

Cell lengths 7.418, 7.916, 7.916 Å; angles 120.00, 90.00, 90.00 degrees
Fractional coordinates of all 12 atoms:
Br 0.802 0.665 0.833
Br 0.802 0.167 0.335
Br 0.802 0.167 0.833
Br 0.198 0.833 0.167
Br 0.198 0.833 0.665
Mg 0.000 0.000 0.500
I 0.243 0.333 0.667
Br 0.198 0.335 0.167
Mg 0.000 0.500 0.500
I 0.757 0.667 0.333
Mg 0.000 0.500 0.000
Mg 0.000 0.000 0.000

SG: P-3m1
energy relative to the elements, uncorrected: -1.3687 eV/atom

=====

DFT (PBE-GGA) results for crystalline Sr2NiAgH6 at its relaxed geometry.

Cell lengths 5.040, 5.314, 5.314 Å; angles 120.00, 90.00, 90.00 degrees
Fractional coordinates of all 10 atoms:
H 0.805 0.689 0.844
H 0.195 0.844 0.156
H 0.195 0.311 0.156
H 0.805 0.156 0.844
Ni 0.000 0.000 0.000
H 0.195 0.844 0.689
H 0.805 0.156 0.311
Ag 0.500 0.000 0.000
Sr 0.780 0.667 0.333
Sr 0.220 0.333 0.667

SG: P-3m1

=====

DFT (PBE-GGA) results for crystalline Ac2DyHo at its relaxed geometry.

Cell lengths 5.023, 5.458, 5.458 Å; angles 90.00, 90.00, 90.00 degrees
Fractional coordinates of all 4 atoms:
Ac 0.000 0.000 0.500
Ho 0.500 0.500 0.500
Ac 0.000 0.500 0.000
Dy 0.500 0.000 0.000

SG: P4/mmm
excess energy over the best structure of this formula in the dataset: 0 meV per atom

=====

DFT (PBE-GGA) results for crystalline FeB2Pb2 at its relaxed geometry.

Cell lengths 2.987, 2.987, 9.646 Å; angles 81.09, 81.09, 90.00 degrees
Each line ends with the local moment (μB).
Fractional coordinates of all 5 atoms:
Pb 0.614 0.614 0.773  -0.01
Pb 0.386 0.386 0.227  -0.01
B 0.250 0.750 0.500  0.00
Fe 0.000 0.000 0.000  2.73
B 0.750 0.250 0.500  0.00

SG: I4/mmm
excess energy over the best structure of this formula in the dataset: 0 meV per atom

=====

DFT (PBE-GGA) results for crystalline ZrBe2Al2 at its relaxed geometry.

Cell lengths 7.048, 7.048, 2.884 Å; angles 90.00, 90.00, 90.00 degrees
Fractional coordinates of all 10 atoms:
Al 0.673 0.827 0.500
Al 0.327 0.173 0.500
Be 0.884 0.616 0.000
Be 0.116 0.384 0.000
Al 0.827 0.327 0.500
Zr 0.000 0.000 0.000
Be 0.616 0.116 0.000
Be 0.384 0.884 0.000
Al 0.173 0.673 0.500
Zr 0.500 0.500 0.000

SG: P4/mbm
excess energy over the best structure of this formula in the dataset: 25 meV per atom

=====

DFT (PBE-GGA) results for crystalline ZnPd2Ru at its relaxed geometry.

Cell lengths 3.743, 3.743, 9.468 Å; angles 78.60, 78.60, 90.00 degrees
Each line ends with the local moment (μB).
Fractional coordinates of all 8 atoms:
Zn 0.500 0.500 0.000  -0.01
Pd 0.626 0.125 0.250  0.01
Ru 0.000 0.000 0.000  0.29
Pd 0.124 0.625 0.250  0.01
Pd 0.375 0.374 0.750  0.03
Pd 0.875 0.876 0.750  0.03
Zn 0.250 0.750 0.500  -0.01
Ru 0.750 0.250 0.500  0.28

SG: I-42d

=====

no.,calculated total energy (eV per atom),N(E_F) (states/eV per atom)
1,-2.9950,0.000
2,-3.4807,0.270
3,-4.2990,1.352
4,-4.6537,0.495
5,-4.7764,0.137
6,-4.8977,0.950